## NaPIrO (PBE)

Data for a relaxed structure of NaPIrO.

Geometry as POSCAR:
```
NaPIrO
1.0
-0.7706 2.2646 -3.1004
-2.3454 -2.7812 -1.4486
-6.5783 3.4016 4.1196
Ir Na O P
2 2 2 2
direct
0.0000 0.0000 0.5000 Ir
0.5000 0.5000 0.5000 Ir
0.0000 0.5000 0.1305 Na
0.5000 0.0000 0.8695 Na
0.0000 0.0000 0.0000 O
0.5000 0.5000 0.0000 O
0.5000 0.0000 0.3446 P
0.0000 0.5000 0.6554 P
```

Calculated values
Final energy = -22.075 eV per formula unit
Spin magnetization = 0.006 μB/f.u.
Symmetry = P4/nmm (129)



## SrNdGe2N4 (PBE)

Data for a relaxed structure of SrNdGe2N4.

Geometry as POSCAR:
```
SrNdGe2N4
1.0
-2.8724 2.8724 3.4278
2.8724 -2.8724 3.4278
2.8724 2.8724 -3.4278
Ge N Nd Sr
2 4 1 1
direct
0.5000 0.5000 0.0000 Ge
0.7500 0.2500 0.5000 Ge
0.6565 0.2276 0.1061 N
0.7724 0.8785 0.4289 N
0.4496 0.3435 0.5711 N
0.1215 0.5504 0.8939 N
0.0000 0.0000 0.0000 Nd
0.2500 0.7500 0.5000 Sr
```

Calculated values
Final energy = -52.272 eV per formula unit
Spin magnetization = 0.316 μB/f.u.
Symmetry = I-4 (82)



## Li4Ni2BiAs (PBE)

Data for a relaxed structure of Li4Ni2BiAs.

Geometry as POSCAR:
```
Li4Ni2BiAs
1.0
4.2125 0.0000 0.0000
0.0000 4.2125 0.0000
0.0000 0.0000 6.2100
As Bi Li Ni
1 1 4 2
direct
0.0000 0.0000 0.0000 As
0.5000 0.5000 0.5000 Bi
0.5000 0.5000 0.0000 Li
0.5000 0.0000 0.2174 Li
0.0000 0.0000 0.5000 Li
0.0000 0.5000 0.7826 Li
0.0000 0.5000 0.2184 Ni
0.5000 0.0000 0.7816 Ni
```

Calculated values
Final energy = -30.625 eV per formula unit
Spin magnetization = 0.000 μB/f.u.
Symmetry = P-4m2 (115)



## HoTm2Hg (PBE)

Data for a relaxed structure of HoTm2Hg.

Geometry as POSCAR:
```
HoTm2Hg
1.0
0.6404 5.7087 3.6419
-6.1661 -2.2544 -1.7778
-0.2595 -2.8532 4.5180
Hg Ho Tm
2 2 4
direct
0.3344 0.6656 0.2500 Hg
0.6656 0.3344 0.7500 Hg
0.8263 0.1737 0.2500 Ho
0.1737 0.8263 0.7500 Ho
0.3412 0.1724 0.2500 Tm
0.8276 0.6588 0.2500 Tm
0.1724 0.3412 0.7500 Tm
0.6588 0.8276 0.7500 Tm
```

Calculated values
Final energy = -14.487 eV per formula unit
Spin magnetization = 0.000 μB/f.u.
Symmetry = Cmcm (63)



## TmNbN2O (PBE)

Data for a relaxed structure of TmNbN2O.

Geometry as POSCAR:
```
TmNbN2O
1.0
-3.4509 -6.5919 -2.5134
5.7699 -1.0416 -5.2675
3.9206 -4.4982 5.1711
N Nb O Tm
16 8 8 8
direct
0.7936 0.7522 0.1480 N
0.0020 0.4366 0.1666 N
0.3349 0.2509 0.1856 N
0.4993 0.9383 0.2772 N
0.2011 0.4462 0.4692 N
0.8117 0.9397 0.4706 N
0.1888 0.0559 0.4710 N
0.7987 0.5527 0.4728 N
0.5013 0.0623 0.6670 N
0.6643 0.7486 0.7618 N
0.9979 0.5632 0.7771 N
0.2075 0.2486 0.7962 N
0.3067 0.5683 0.9667 N
0.2962 0.9349 0.9684 N
0.7007 0.0622 0.9712 N
0.6943 0.4345 0.9759 N
0.7664 0.5142 0.2224 Nb
0.2423 0.4825 0.2249 Nb
0.2606 0.0091 0.2324 Nb
0.7516 0.9872 0.2403 Nb
0.2552 0.0076 0.7313 Nb
0.7333 0.9941 0.7349 Nb
0.7525 0.5167 0.7371 Nb
0.2388 0.4937 0.7410 Nb
0.9990 0.0705 0.1646 O
0.1627 0.7537 0.2570 O
0.4982 0.5743 0.2737 O
0.7111 0.2499 0.3129 O
0.2893 0.7477 0.6310 O
0.5023 0.4289 0.6682 O
0.8386 0.2445 0.6898 O
0.0004 0.9245 0.7738 O
0.5197 0.7511 0.0221 Tm
0.9696 0.2525 0.4430 Tm
0.4612 0.2538 0.4553 Tm
0.5386 0.7446 0.4938 Tm
0.0306 0.7495 0.5102 Tm
0.4815 0.2515 0.9323 Tm
0.9463 0.2480 0.9526 Tm
0.0512 0.7548 0.9967 Tm
```

Calculated values
Final energy = -45.230 eV per formula unit
Spin magnetization = 0.000 μB/f.u.
Symmetry = P1 (1)



## CoCuSiPt (PBE)

Data for a relaxed structure of CoCuSiPt.

Geometry as POSCAR:
```
CoCuSiPt
1.0
0.0000 2.9177 2.9177
2.9177 0.0000 2.9177
2.9177 2.9177 0.0000
Co Cu Pt Si
1 1 1 1
direct
0.7500 0.7500 0.7500 Co
0.5000 0.5000 0.5000 Cu
0.2500 0.2500 0.2500 Pt
0.0000 0.0000 0.0000 Si
```

Calculated values
Final energy = -23.474 eV per formula unit
Spin magnetization = 0.577 μB/f.u.
Symmetry = F-43m (216)



## TbNbSb2 (PBE)

Data for a relaxed structure of TbNbSb2.

Geometry as POSCAR:
```
TbNbSb2
1.0
-0.0207 -4.1885 -0.2603
2.8588 -0.2046 3.0655
-4.3115 -0.2276 4.0056
Nb Sb Tb
1 2 1
direct
0.5000 0.5000 0.5000 Nb
0.5000 0.5000 0.0000 Sb
0.0000 0.0000 0.5000 Sb
0.0000 0.0000 0.0000 Tb
```

Calculated values
Final energy = -24.205 eV per formula unit
Spin magnetization = 0.089 μB/f.u.
Symmetry = P4/mmm (123)



## CsSnAu (PBE)

Data for a relaxed structure of CsSnAu.

Geometry as POSCAR:
```
CsSnAu
1.0
-1.0792 -3.8272 -3.7643
-4.0468 0.7718 -3.6069
1.1685 0.9342 -5.2673
Au Cs Sn
1 1 1
direct
0.2500 0.2500 0.2500 Au
0.7500 0.7500 0.7500 Cs
0.0000 0.0000 0.0000 Sn
```

Calculated values
Final energy = -6.977 eV per formula unit
Symmetry = F-43m (216)



## HfInTcNi (PBE)

Data for a relaxed structure of HfInTcNi.

Geometry as POSCAR:
```
HfInTcNi
1.0
0.2034 -4.3913 -1.1125
-3.7765 -2.2188 -1.1737
-0.6327 -1.2802 -4.3039
Hf In Ni Tc
1 1 1 1
direct
0.5000 0.5000 0.5000 Hf
0.0000 0.0000 0.0000 In
0.7500 0.7500 0.7500 Ni
0.2500 0.2500 0.2500 Tc
```

Calculated values
Final energy = -29.432 eV per formula unit
Spin magnetization = 0.000 μB/f.u.
Symmetry = F-43m (216)



## HoCd3 (PBE)

Data for a relaxed structure of HoCd3.

Geometry as POSCAR:
```
HoCd3
1.0
-4.1173 -2.0448 -1.5150
-0.8078 -2.6765 5.8076
-3.3485 3.7626 4.0218
Cd Ho
6 2
direct
0.5000 0.6193 0.1893 Cd
0.0000 0.3236 0.3236 Cd
0.0000 0.8109 0.3807 Cd
0.5000 0.1893 0.6193 Cd
0.5000 0.6761 0.6761 Cd
0.0000 0.3807 0.8109 Cd
0.5000 0.1329 0.1329 Ho
0.0000 0.8672 0.8672 Ho
```

Calculated values
Final energy = -8.398 eV per formula unit
Spin magnetization = 0.001 μB/f.u.
Symmetry = Cmcm (63)



## Cu5Ag4 (PBE)

Data for a relaxed structure of Cu5Ag4.

Geometry as POSCAR:
```
Cu5Ag4
1.0
-5.8045 -8.9925 12.6457
-8.8957 -9.5422 10.2119
8.2267 7.6496 -12.1768
Ag Cu
4 5
direct
0.1509 0.1509 0.0000 Ag
0.2828 0.2828 0.0000 Ag
0.7172 0.7172 0.0000 Ag
0.8491 0.8491 0.0000 Ag
0.0472 0.0472 0.0000 Cu
0.4060 0.4060 0.0000 Cu
0.5000 0.5000 0.0000 Cu
0.5940 0.5940 0.0000 Cu
0.9528 0.9528 0.0000 Cu
```

Calculated values
Final energy = -29.483 eV per formula unit
Symmetry = I4/mmm (139)



## CsLuTl (PBE)

Data for a relaxed structure of CsLuTl.

Geometry as POSCAR:
```
CsLuTl
1.0
0.0000 4.0613 4.0613
4.0613 0.0000 4.0613
4.0613 4.0613 0.0000
Cs Lu Tl
1 1 1
direct
0.2500 0.2500 0.2500 Cs
0.7500 0.7500 0.7500 Lu
0.0000 0.0000 0.0000 Tl
```

Calculated values
Final energy = -6.066 eV per formula unit
Spin magnetization = 0.007 μB/f.u.
Symmetry = F-43m (216)